CoAg2F5 | PBE with a Hubbard U | relaxed

Unit cell a=6.856 b=9.795 c=3.197 alpha=90.00 beta=90.00 gamma=90.00
Sites, in units of the cell vectors:
1 Co 0.000 0.000 0.000
2 Co 0.500 0.500 0.000
3 Ag 0.017 0.327 0.500
4 Ag 0.483 0.827 0.500
5 Ag 0.517 0.173 0.500
6 Ag 0.983 0.673 0.500
7 F 0.000 0.500 0.000
8 F 0.144 0.830 0.000
9 F 0.149 0.077 0.500
10 F 0.351 0.577 0.500
11 F 0.356 0.330 0.000
12 F 0.500 0.000 0.000
13 F 0.644 0.670 0.000
14 F 0.649 0.423 0.500
15 F 0.851 0.923 0.500
16 F 0.856 0.170 0.000

Results
Theoretical density in g/cm³: 5.72
Symmetry: No. 55
Size of the total moment in μB/f.u.: 4.019
Calculated total energy in eV/atom: -3.9731